[1]
! PBE Ba8Rh3Au2, relaxed; values from VASP
&SYSTEM
  ibrav = 0, nat = 13, ntyp = 3
/
ATOMIC_SPECIES
Rh 102.91 Rh.upf
Ba 137.33 Ba.upf
Au 196.97 Au.upf
ATOMIC_POSITIONS crystal
Rh 0.000 0.742 0.258
Rh 0.000 0.258 0.742
Rh 0.500 0.000 0.000
Ba 0.331 0.644 0.124
Ba 0.169 0.111 0.111
Ba 0.669 0.356 0.876
Ba 0.669 0.876 0.356
Ba 0.331 0.124 0.644
Ba 0.831 0.889 0.889
Ba 0.854 0.385 0.385
Ba 0.146 0.615 0.615
Au 0.499 0.744 0.744
Au 0.501 0.256 0.256
CELL_PARAMETERS angstrom
7.825 0.014 0.028
0.034 7.926 3.898
0.030 0.159 8.831
! Raw total energy in eV per cell: -48.09
! Calculated volume in Å³/atom: 41.76
! Fermi-level density of states in states/eV per cell: 8.8
! Calculated formation energy in eV/atom: -0.3151


[2]
! PBE NaTiAu2, relaxed; values from VASP
&SYSTEM
  ibrav = 0, nat = 4, ntyp = 3
/
ATOMIC_SPECIES
Ti 47.87 Ti.upf
Au 196.97 Au.upf
Na 22.99 Na.upf
ATOMIC_POSITIONS crystal
Ti 0.000 0.000 0.000
Au 0.258 0.258 0.225
Au 0.742 0.742 0.775
Na 0.500 0.500 0.500
CELL_PARAMETERS angstrom
-2.439 -0.874 1.690
-2.272 -1.649 -1.300
2.864 -8.765 2.429
! Raw total energy in eV per cell: -16.30
! Calculated volume in Å³/atom: 19.41
! Fermi-level density of states in states/eV per cell: 2.6
! Calculated formation energy in eV/atom: -0.1336


> Which of these has the lowest calculated volume?

NaTiAu2